# Li2PaPd8

Crystalline Li2PaPd8 at its relaxed geometry (PBE, OQMD via LeMat-Bulk).

CIF file:
```
data_Li2PaPd8
_chemical_formula_sum 'Li4 Pa2 Pd16'
_symmetry_space_group_name_H-M 'C 1 2/m 1'
_symmetry_Int_Tables_number 12
_symmetry_space_group_name_Hall '-C 2y'
_cell_length_a 14.047
_cell_length_b 4.171
_cell_length_c 6.270
_cell_angle_alpha 90.00
_cell_angle_beta 107.32
_cell_angle_gamma 90.00
loop_
_atom_site_label
_atom_site_fract_x
_atom_site_fract_y
_atom_site_fract_z
Li1 0.226 0.000 0.147
Pa1 0.000 0.500 0.500
Pd1 0.046 0.000 0.228
Pd2 0.095 0.500 0.960
Pd3 0.143 0.000 0.699
Pd4 0.182 0.500 0.425
```

Summary:
**Raw total energy**: -5.522 eV per atom
**Magnetization**: 0.000 μB/atom